The following is a PBE calculation of a relaxed structure of PuRh2Au, from Alexandria via LeMat-Bulk.

Summary:
Electronic total energy, eV per atom: -8.50
Mass density, kg/m3: 15274
Energy relative to the elements, eV per atom: -0.417
Symmetry: P4/mmm, No. 123
Magnetization, μB/atom: 0.917
Crystal system: tetragonal
Calculated volume, Å³/cell: 70.3

Unit cell a=3.8176 b=4.2918 c=4.2918 alpha=90.00 beta=90.00 gamma=90.00
Element x y z (fractional)
1 Rh 0.0000 0.0000 0.5000
2 Rh 0.0000 0.5000 0.0000
3 Au 0.5000 0.5000 0.5000
4 Pu 0.5000 0.0000 0.0000

=====

The following is a PBE calculation of a relaxed structure of Pu4Rh2Au, from Alexandria via LeMat-Bulk.

Summary:
Electronic total energy, eV per atom: -11.02
Mass density, kg/m3: 16837
Energy relative to the elements, eV per atom: -0.258
Symmetry: R-3m, No. 166
Magnetization, μB/atom: 0.097
Crystal system: trigonal
Calculated volume, Å³/cell: 136.0
Energy above the lowest structure with this stoichiometry, meV per atom: 90.0

Unit cell a=4.7018 b=4.7018 c=7.6038 alpha=71.99 beta=71.99 gamma=60.00
Element x y z (fractional)
1 Pu 0.4333 0.4333 0.7000
2 Pu 0.2734 0.2734 0.1797
3 Pu 0.7266 0.7266 0.8203
4 Pu 0.5667 0.5667 0.3000
5 Rh 0.1388 0.1388 0.5837
6 Rh 0.8612 0.8612 0.4163
7 Au 0.0000 0.0000 0.0000

=====

The following is a PBE calculation of a relaxed structure of Pu3RhAu, from Alexandria via LeMat-Bulk.

Summary:
Electronic total energy, eV per atom: -10.93
Mass density, kg/m3: 15477
Energy relative to the elements, eV per atom: -0.208
Symmetry: C2/c, No. 15
Magnetization, μB/atom: 1.064
Crystal system: monoclinic
Calculated volume, Å³/cell: 442.8
Energy above the lowest structure with this stoichiometry, meV per atom: 20.8

Unit cell a=5.2962 b=9.4731 c=9.4731 alpha=109.67 beta=85.22 gamma=85.22
Element x y z (fractional)
1 Pu 0.6776 0.2193 0.0518
2 Pu 0.1776 0.0518 0.2193
3 Pu 0.8224 0.9482 0.7807
4 Pu 0.3224 0.7807 0.9482
5 Pu 0.0481 0.3133 0.5348
6 Pu 0.5481 0.5348 0.3133
7 Pu 0.4519 0.4652 0.6867
8 Pu 0.9519 0.6867 0.4652
9 Pu 0.7739 0.6043 0.0911
10 Pu 0.2739 0.0911 0.6043
11 Pu 0.7261 0.9089 0.3957
12 Pu 0.2261 0.3957 0.9089
13 Rh 0.2500 0.7610 0.2390
14 Rh 0.2500 0.0876 0.9124
15 Rh 0.7500 0.2390 0.7610
16 Rh 0.7500 0.9124 0.0876
17 Au 0.1032 0.3738 0.2174
18 Au 0.6032 0.2174 0.3738
19 Au 0.3968 0.7826 0.6262
20 Au 0.8968 0.6262 0.7826

=====

The following is a PBE calculation of a relaxed structure of Pu5RhAu4, from Alexandria via LeMat-Bulk.

Summary:
Electronic total energy, eV per atom: -9.11
Mass density, kg/m3: 15645
Energy relative to the elements, eV per atom: 0.101
Symmetry: P4/mmm, No. 123
Magnetization, μB/atom: 0.545
Crystal system: tetragonal
Calculated volume, Å³/cell: 224.0

Unit cell a=3.7619 b=3.7619 c=15.8305 alpha=90.00 beta=90.00 gamma=90.00
Element x y z (fractional)
1 Pu 0.5000 0.5000 0.0926
2 Pu 0.5000 0.5000 0.2979
3 Pu 0.5000 0.5000 0.5000
4 Pu 0.5000 0.5000 0.7021
5 Pu 0.5000 0.5000 0.9074
6 Rh 0.0000 0.0000 0.0000
7 Au 0.0000 0.0000 0.1937
8 Au 0.0000 0.0000 0.3921
9 Au 0.0000 0.0000 0.6079
10 Au 0.0000 0.0000 0.8063

=====

The following is a PBE calculation of a relaxed structure of Pu6Rh3Au, from Alexandria via LeMat-Bulk.

Summary:
Electronic total energy, eV per atom: -11.42
Mass density, kg/m3: 14361
Energy relative to the elements, eV per atom: -0.284
Symmetry: Cmc2_1, No. 36
Magnetization, μB/atom: 0.130
Crystal system: orthorhombic
Calculated volume, Å³/cell: 455.5

Unit cell a=7.2293 b=7.9765 c=7.9765 alpha=97.99 beta=90.00 gamma=90.00
Element x y z (fractional)
1 Pu 0.1562 0.6737 0.6181
2 Pu 0.6562 0.6181 0.6737
3 Pu 0.3716 0.5044 0.9797
4 Pu 0.8716 0.9797 0.5044
5 Pu 0.1520 0.1134 0.8866
6 Pu 0.6471 0.1636 0.8364
7 Pu 0.1471 0.8364 0.1636
8 Pu 0.6520 0.8866 0.1134
9 Pu 0.3716 0.0203 0.4956
10 Pu 0.8716 0.4956 0.0203
11 Pu 0.1562 0.3819 0.3263
12 Pu 0.6562 0.3263 0.3819
13 Rh 0.4054 0.8491 0.8382
14 Rh 0.9054 0.8382 0.8491
15 Rh 0.3541 0.3406 0.6594
16 Rh 0.8541 0.6594 0.3406
17 Rh 0.9054 0.1509 0.1618
18 Rh 0.4054 0.1618 0.1509
19 Au 0.9658 0.3378 0.6622
20 Au 0.4658 0.6622 0.3378

=====

The following is a PBE calculation of a relaxed structure of Pu5Rh2Au2, from Alexandria via LeMat-Bulk.

Summary:
Electronic total energy, eV per atom: -10.69
Mass density, kg/m3: 13912
Energy relative to the elements, eV per atom: -0.367
Symmetry: Cmce, No. 64
Magnetization, μB/atom: 3.103
Crystal system: orthorhombic
Calculated volume, Å³/cell: 434.4

Unit cell a=7.5411 b=7.6630 c=8.4376 alpha=117.01 beta=90.00 gamma=90.00
Element x y z (fractional)
1 Pu 0.0000 0.0000 0.0000
2 Pu 0.5000 0.5000 0.0000
3 Pu 0.8339 0.7986 0.2554
4 Pu 0.1661 0.4568 0.2554
5 Pu 0.3339 0.9568 0.2554
6 Pu 0.6661 0.2986 0.2554
7 Pu 0.1661 0.2014 0.7446
8 Pu 0.8339 0.5432 0.7446
9 Pu 0.6661 0.0432 0.7446
10 Pu 0.3339 0.7014 0.7446
11 Rh 0.6360 0.8667 0.0000
12 Rh 0.3640 0.1333 0.0000
13 Rh 0.1360 0.6333 0.0000
14 Rh 0.8640 0.3667 0.0000
15 Au 0.0000 0.2101 0.4202
16 Au 0.5000 0.7101 0.4202
17 Au 0.0000 0.7899 0.5798
18 Au 0.5000 0.2899 0.5798

=====

The following is a PBE calculation of a relaxed structure of PuRhAu2, from Alexandria via LeMat-Bulk.

Summary:
Electronic total energy, eV per atom: -7.40
Mass density, kg/m3: 15279
Energy relative to the elements, eV per atom: -0.344
Symmetry: P2_1/m, No. 11
Magnetization, μB/atom: 1.237
Crystal system: monoclinic
Calculated volume, Å³/cell: 161.0

Unit cell a=4.1332 b=5.2747 c=8.0294 alpha=90.00 beta=90.00 gamma=113.09
Element x y z (fractional)
1 Pu 0.0620 0.1230 0.2500
2 Pu 0.9380 0.8770 0.7500
3 Rh 0.7560 0.5138 0.2500
4 Rh 0.2440 0.4862 0.7500
5 Au 0.3629 0.7269 0.0592
6 Au 0.3629 0.7269 0.4408
7 Au 0.6371 0.2731 0.9408
8 Au 0.6371 0.2731 0.5592

=====

The following is a PBE calculation of a relaxed structure of Pu4Rh2Au, from Alexandria via LeMat-Bulk.

Summary:
Electronic total energy, eV per atom: -11.11
Mass density, kg/m3: 14085
Energy relative to the elements, eV per atom: -0.348
Symmetry: I-42d, No. 122
Magnetization, μB/atom: 3.100
Crystal system: tetragonal
Calculated volume, Å³/cell: 325.1
Energy above the lowest structure with this stoichiometry, meV per atom: 0.0

Unit cell a=7.5028 b=7.5028 c=7.5028 alpha=69.86 beta=70.86 gamma=109.14
Element x y z (fractional)
1 Pu 0.7438 0.0070 0.3956
2 Pu 0.7562 0.5131 0.3894
3 Pu 0.0974 0.2430 0.5131
4 Pu 0.4026 0.3956 0.8606
5 Pu 0.2438 0.8544 0.2430
6 Pu 0.9026 0.3894 0.8544
7 Pu 0.5974 0.7369 0.0070
8 Pu 0.2562 0.8606 0.7369
9 Rh 0.1109 0.4859 0.1250
10 Rh 0.6109 0.1250 0.7641
11 Rh 0.8891 0.7641 0.6250
12 Rh 0.3891 0.6250 0.4859
13 Au 0.5000 0.2500 0.2500
14 Au 0.0000 0.0000 0.0000

=====

What is the formula in the second record? Pu4Rh2Au

=====

The highest magnetization belongs to which entry? Pu5Rh2Au2

=====

Which value of electronic total energy does entry 4 give? -9.11 eV per atom

=====

Which formula does entry 4 have? Pu5RhAu4